# 1
# NaInPb

NaInPb after structural relaxation (GGA-PBE, the Alexandria database).

abc: 7.6646 5.9267 4.7572
angles: 66.28 71.70 105.28
Fractional positions:
Pb: 0.9341 0.1565 0.0711
Na: 0.0997 0.6573 0.2383
Na: 0.7605 0.6598 0.9065
Pb: 0.5897 0.1529 0.7458
In: 0.2659 0.1683 0.3990
In: 0.4297 0.6621 0.5711

Results
Electronic total energy, eV/atom: -2.695
Total magnetic moment, μB/f.u.: 0.00

# 2
# Na2In3Pb8

Na2In3Pb8 after structural relaxation (GGA-PBE, the Alexandria database).

abc: 6.4878 9.0003 8.4679
angles: 122.10 100.44 90.00
Fractional positions:
In: 0.5000 0.0000 0.0000
Pb: 0.5536 0.1834 0.7555
Na: 0.2322 0.1966 0.3931
In: 0.0000 0.1761 0.0000
Pb: 0.5536 0.5721 0.7555
In: 0.0000 0.8239 0.0000
Pb: 0.7552 0.2170 0.4341
Pb: 0.1351 0.4142 0.8285
Pb: 0.4464 0.4279 0.2445
Na: 0.7678 0.8034 0.6069
Pb: 0.2448 0.7830 0.5659
Pb: 0.4464 0.8166 0.2445
Pb: 0.8649 0.5858 0.1715

Results
Electronic total energy, eV/atom: -3.086
Total magnetic moment, μB/f.u.: 0.00

# 3
# Na5InPb8

Na5InPb8 after structural relaxation (GGA-PBE, the Alexandria database).

abc: 8.2984 8.2981 8.2984
angles: 113.14 102.36 113.14
Fractional positions:
Na: 0.7923 0.6510 0.7205
Pb: 0.1492 0.7460 0.0871
Na: 0.8588 0.9282 0.2077
Pb: 0.0474 0.7319 0.4550
Pb: 0.7231 0.2681 0.3155
Na: 0.2795 0.0718 0.9306
Pb: 0.9129 0.0621 0.6589
Pb: 0.5450 0.5924 0.2770
Na: 0.5000 0.0000 0.5000
Pb: 0.5968 0.9379 0.8508
Pb: 0.6845 0.4076 0.9525
In: 0.2500 0.5000 0.7500
Pb: 0.3411 0.2540 0.4032
Na: 0.0694 0.3490 0.1413

Results
Electronic total energy, eV/atom: -2.841
Total magnetic moment, μB/f.u.: 0.00

# 4
# Na8InPb2

Na8InPb2 after structural relaxation (GGA-PBE, the Alexandria database).

abc: 6.1939 9.0250 9.0250
angles: 65.29 112.27 112.27
Fractional positions:
Na: 0.3030 0.8237 0.4198
Na: 0.7135 0.1422 0.1422
Pb: 0.7080 0.7873 0.7873
Na: 0.6970 0.1763 0.5802
Na: 0.1960 0.4016 0.4016
Pb: 0.2920 0.2127 0.2127
Na: 0.6970 0.5802 0.1763
Na: 0.8040 0.5984 0.5984
Na: 0.2865 0.8578 0.8578
In: 0.0000 0.0000 0.0000
Na: 0.3030 0.4198 0.8237

Results
ΔE to the lowest computed polymorph, eV per atom: 0.011
Total magnetic moment, μB/f.u.: 0.00

# 5
# Na16In12Pb

Na16In12Pb after structural relaxation (GGA-PBE, the Alexandria database).

abc: 10.2568 10.2568 10.1175
angles: 109.32 109.32 109.81
Fractional positions:
In: 0.6276 0.6276 0.8101
Na: 0.7152 0.3157 0.3102
In: 0.8110 0.8110 0.1798
Na: 0.6851 0.4119 0.0044
In: 0.1832 0.9984 0.3701
Na: 0.5888 0.2778 0.5879
Na: 0.9997 0.6845 0.4071
Na: 0.3476 0.3476 0.3435
Na: 0.4092 0.0005 0.6869
In: 0.3629 0.9936 0.1822
Na: 0.9996 0.9996 0.6466
Na: 0.0000 0.6510 0.0027
In: 0.1882 0.8135 0.8118
Na: 0.6845 0.9997 0.4071
Na: 0.0021 0.0021 0.0002
In: 0.8135 0.1882 0.8118
Na: 0.6510 0.0000 0.0027
Na: 0.3117 0.3117 0.7204
Na: 0.2778 0.5888 0.5879
In: 0.6359 0.8228 0.6377
Pb: 0.6082 0.6082 0.2973
Na: 0.3157 0.7152 0.3102
In: 0.1865 0.3678 0.9998
In: 0.3678 0.1865 0.9998
Na: 0.4119 0.6851 0.0044
Na: 0.0005 0.4092 0.6869
In: 0.9936 0.3629 0.1822
In: 0.8228 0.6359 0.6377
In: 0.9984 0.1832 0.3701

Results
Electronic total energy, eV/atom: -2.108
Total magnetic moment, μB/f.u.: 0.00

# 6
# Na6InPb2

Na6InPb2 after structural relaxation (GGA-PBE, the Alexandria database).

abc: 3.3329 10.0096 10.0096
angles: 56.01 110.09 110.09
Fractional positions:
Na: 0.8357 0.9995 0.3358
Na: 0.8357 0.3358 0.9995
In: 0.0000 0.0000 0.0000
Na: 0.1643 0.6642 0.0005
Pb: 0.6660 0.3330 0.3330
Pb: 0.3340 0.6670 0.6670
Na: 0.5000 0.6650 0.3350
Na: 0.1643 0.0005 0.6642
Na: 0.5000 0.3350 0.6650

Results
ΔE to the lowest computed polymorph, eV per atom: 0.005
Total magnetic moment, μB/f.u.: 0.00

# 7
# NaInPb

NaInPb after structural relaxation (GGA-PBE, the Alexandria database).

abc: 4.8216 4.8216 7.9215
angles: 90.00 90.00 90.00
Fractional positions:
Pb: 0.0000 0.5000 0.7562
Na: 0.0000 0.5000 0.1725
In: 0.0000 0.0000 0.5000
In: 0.5000 0.5000 0.5000
Pb: 0.5000 0.0000 0.2438
Na: 0.5000 0.0000 0.8275

Results
Electronic total energy, eV/atom: -2.701
Total magnetic moment, μB/f.u.: 0.00

# 8
# Na2InPb

Na2InPb after structural relaxation (GGA-PBE, the Alexandria database).

abc: 3.5209 3.5209 10.9624
angles: 80.76 80.76 60.00
Fractional positions:
In: 0.6664 0.6664 0.0007
Na: 0.2501 0.2501 0.2498
Na: 0.0832 0.0832 0.7503
Pb: 0.5002 0.5002 0.4993

Results
ΔE to the lowest computed polymorph, eV per atom: 0.045
Total magnetic moment, μB/f.u.: 0.00

# 9
# NaIn8Pb6

NaIn8Pb6 after structural relaxation (GGA-PBE, the Alexandria database).

abc: 8.1680 8.1680 8.1680
angles: 69.20 69.20 69.20
Fractional positions:
In: 0.7939 0.7939 0.7939
In: 0.2061 0.2061 0.2061
In: 0.5350 0.8523 0.1848
Pb: 0.8408 0.6769 0.4147
Pb: 0.4147 0.8408 0.6769
In: 0.8523 0.1848 0.5350
Pb: 0.6769 0.4147 0.8408
In: 0.1848 0.5350 0.8523
In: 0.4650 0.1477 0.8152
Pb: 0.5853 0.1592 0.3231
Pb: 0.1592 0.3231 0.5853
Na: 0.0000 0.0000 0.0000
Pb: 0.3231 0.5853 0.1592
In: 0.1477 0.8152 0.4650
In: 0.8152 0.4650 0.1477

Results
ΔE to the lowest computed polymorph, eV per atom: 0.014
Total magnetic moment, μB/f.u.: 0.00

# 10
# Na4In5Pb3

Na4In5Pb3 after structural relaxation (GGA-PBE, the Alexandria database).

abc: 5.8233 8.6406 8.6440
angles: 100.83 70.32 70.30
Fractional positions:
Na: 0.9976 0.2657 0.7390
Na: 0.1726 0.7714 0.8834
In: 0.6442 0.9238 0.7878
In: 0.3558 0.0762 0.2122
Na: 0.8274 0.2286 0.1166
In: 0.5000 0.5000 0.5000
In: 0.3388 0.3598 0.9625
Pb: 0.3171 0.8730 0.4928
Pb: 0.0000 0.5000 0.5000
Na: 0.0024 0.7343 0.2610
In: 0.6612 0.6402 0.0375
Pb: 0.6829 0.1270 0.5072

Results
Electronic total energy, eV/atom: -2.480
Total magnetic moment, μB/f.u.: 0.00

# 11
# Na4In5Pb2

Na4In5Pb2 after structural relaxation (GGA-PBE, the Alexandria database).

abc: 3.3489 9.6998 10.6094
angles: 117.22 90.00 90.00
Fractional positions:
Na: 0.5000 0.7295 0.5345
Na: 0.5000 0.2154 0.9793
Na: 0.5000 0.7846 0.0207
In: 0.0000 0.9014 0.8289
In: 0.0000 0.5449 0.7263
Na: 0.5000 0.2705 0.4655
Pb: 0.0000 0.1382 0.6783
Pb: 0.0000 0.8618 0.3217
In: 0.0000 0.0986 0.1711
In: 0.0000 0.4551 0.2737
In: 0.0000 0.5000 0.0000

Results
ΔE to the lowest computed polymorph, eV per atom: 0.033
Total magnetic moment, μB/f.u.: 0.00

# 12
# NaIn9Pb2

NaIn9Pb2 after structural relaxation (GGA-PBE, the Alexandria database).

abc: 7.8776 8.4132 9.3400
angles: 98.36 62.86 53.10
Fractional positions:
In: 0.5892 0.9615 0.7781
In: 0.2309 0.5056 0.3482
In: 0.7691 0.4944 0.6518
In: 0.9600 0.4471 0.1908
Pb: 0.7599 0.9659 0.3811
Pb: 0.2401 0.0341 0.6189
In: 0.5000 0.5000 0.5000
In: 0.5695 0.5821 0.0993
Na: 0.0000 0.0000 0.0000
In: 0.0400 0.5529 0.8092
In: 0.4108 0.0385 0.2219
In: 0.4305 0.4179 0.9007

Results
Electronic total energy, eV/atom: -2.746
Total magnetic moment, μB/f.u.: 0.00